(1)
Rb2UAg2S4 after structural relaxation. Source: the Alexandria database, functional PBE.

Summary:
The magnetic moment is 2.00 μB/f.u. For the energy relative to the elements, uncorrected, the calculation gives -970 meV per atom.

Lattice parameters (Å, degrees): 7.850 7.850 7.941 109.05 109.05 30.64
Fractional positions:
Rb 0.136 0.136 0.067
Rb 0.864 0.864 0.933
U 0.000 0.000 0.500
Ag 0.321 0.321 0.519
Ag 0.679 0.679 0.481
S 0.189 0.189 0.684
S 0.490 0.490 0.725
S 0.510 0.510 0.275
S 0.811 0.811 0.316

---

(2)
CsBiSbAu2 after structural relaxation. Source: the Alexandria database, functional PBE.

Summary:
The magnetic moment is 0.02 μB/f.u. For the energy relative to the elements, uncorrected, the calculation gives 133 meV per atom.

Lattice parameters (Å, degrees): 5.655 5.655 6.012 90.00 90.00 90.00
Fractional positions:
Cs 0.000 0.000 0.000
Bi 0.500 0.500 0.500
Sb 0.500 0.500 0.000
Au 0.000 0.500 0.500
Au 0.500 0.000 0.500

---

(3)
Er2Ir3Ru after structural relaxation. Source: the Alexandria database, functional PBE.

Summary:
The formation energy is -0.740 eV per atom. The magnetic moment is 0.00 μB/f.u.

Lattice parameters (Å, degrees): 5.340 5.340 8.656 90.00 90.00 120.00
Fractional positions:
Er 0.333 0.667 0.066
Er 0.333 0.667 0.434
Er 0.667 0.333 0.566
Er 0.667 0.333 0.934
Ir 0.169 0.339 0.750
Ir 0.169 0.831 0.750
Ir 0.339 0.169 0.250
Ir 0.661 0.831 0.750
Ir 0.831 0.169 0.250
Ir 0.831 0.661 0.250
Ru 0.000 0.000 0.000
Ru 0.000 0.000 0.500

---

(4)
ZrNbZn2 after structural relaxation. Source: the Alexandria database, functional PBE.

Summary:
The formation energy is -0.144 eV per atom. The magnetic moment is 0.00 μB/f.u.

Lattice parameters (Å, degrees): 4.196 4.196 3.953 90.00 90.00 90.00
Fractional positions:
Zr 0.000 0.000 0.000
Nb 0.500 0.500 0.000
Zn 0.000 0.500 0.500
Zn 0.500 0.000 0.500

---

Values of uncorrected energy, in order: -4.907, -2.949, -8.237, -5.436, all in eV per atom.